Entry 1:
DFT (PBE) results for a relaxed structure of TaZn2Au2.

Geometry as POSCAR:
```
TaZn2Au2
1.0
7.6098 0.0000 0.0000
0.0000 7.6098 0.0000
0.0000 0.0000 2.8542
Ta Zn Au
2 4 4
Direct
0.0000 0.0000 0.0000
0.5000 0.5000 0.0000
0.1231 0.3769 0.0000
0.3769 0.8769 0.0000
0.6231 0.1231 0.0000
0.8769 0.6231 0.0000
0.1757 0.6757 0.5000
0.3243 0.1757 0.5000
0.6757 0.8243 0.5000
0.8243 0.3243 0.5000
```

Calculated values
Energy relative to the lowest polymorph listed for this composition = 0 meV/atom
Calculated formation energy = 0.05 eV/atom

Entry 2:
DFT (PBE) results for a relaxed structure of YGe2Pt2.

Geometry as POSCAR:
```
YGe2Pt2
1.0
7.6758 0.0000 0.0000
0.0000 7.6758 0.0000
0.0000 0.0000 3.1007
Y Ge Pt
2 4 4
Direct
0.0000 0.0000 0.0000
0.5000 0.5000 0.0000
0.1387 0.3613 0.0000
0.3613 0.8613 0.0000
0.6387 0.1387 0.0000
0.8613 0.6387 0.0000
0.1535 0.6535 0.5000
0.3465 0.1535 0.5000
0.6535 0.8465 0.5000
0.8465 0.3465 0.5000
```

Calculated values
Calculated formation energy = -0.49 eV/atom

Entry 3:
DFT (PBE) results for a relaxed structure of AcScP2S8.

Geometry as POSCAR:
```
AcScP2S8
1.0
5.9651 0.0000 0.0000
-2.9825 5.1659 0.0000
0.0000 0.0000 8.7615
Ac Sc P S
1 1 2 8
Direct
0.0000 0.0000 0.0000
0.0000 0.0000 0.5000
0.3333 0.6667 0.7562
0.6667 0.3333 0.2438
0.0055 0.3269 0.6949
0.3214 0.9945 0.6949
0.3269 0.3214 0.3051
0.3333 0.6667 0.9881
0.6667 0.3333 0.0119
0.6731 0.6786 0.6949
0.6786 0.0055 0.3051
0.9945 0.6731 0.3051
```

Calculated values
E_form (uncorrected) = -0.95 eV per atom

Entry 4:
DFT (PBE) results for a relaxed structure of ScTlRh2.

Geometry as POSCAR:
```
ScTlRh2
1.0
3.2135 0.0000 0.0000
0.0000 3.4085 0.0000
0.0000 0.0000 6.3592
Sc Tl Rh
1 1 2
Direct
0.0000 0.0000 0.0000
0.0000 0.0000 0.5000
0.5000 0.5000 0.2394
0.5000 0.5000 0.7606
```

Calculated values
Energy relative to the lowest polymorph listed for this composition = 69 meV/atom
Calculated formation energy = -0.52 eV/atom

Entry 5:
DFT (PBE) results for a relaxed structure of K2Ba2Pb.

Geometry as POSCAR:
```
K2Ba2Pb
1.0
9.2614 0.0000 0.0000
0.0000 9.2614 0.0000
0.0000 0.0000 7.2981
K Ba Pb
4 4 2
Direct
0.1730 0.3270 0.0000
0.3270 0.8270 0.0000
0.6730 0.1730 0.0000
0.8270 0.6730 0.0000
0.1633 0.6633 0.5000
0.3367 0.1633 0.5000
0.6633 0.8367 0.5000
0.8367 0.3367 0.5000
0.0000 0.0000 0.5000
0.5000 0.5000 0.5000
```

Calculated values
Energy relative to the lowest polymorph listed for this composition = 0 meV/atom
Calculated formation energy = -0.02 eV/atom

Entry 6:
DFT (PBE) results for a relaxed structure of CaErHgPb.

Geometry as POSCAR:
```
CaErHgPb
1.0
0.0000 3.8058 3.8058
3.8058 0.0000 3.8058
3.8058 3.8058 0.0000
Ca Er Hg Pb
1 1 1 1
Direct
0.0000 0.0000 0.0000
0.5000 0.5000 0.5000
0.7500 0.7500 0.7500
0.2500 0.2500 0.2500
```

Calculated values
Energy relative to the lowest polymorph listed for this composition = 7 meV/atom
Calculated formation energy = -0.48 eV/atom

Entry 7:
DFT (PBE) results for a relaxed structure of CsLaGeO4.

Geometry as POSCAR:
```
CsLaGeO4
1.0
6.0779 0.0000 0.0000
0.0000 6.0767 0.0000
-2.3787 0.0000 7.8071
Cs La Ge O
2 2 2 8
Direct
0.1972 0.2500 0.4280
0.8028 0.7500 0.5720
0.2822 0.2500 0.9548
0.7178 0.7500 0.0452
0.2515 0.7500 0.1558
0.7485 0.2500 0.8442
0.0571 0.7500 0.9441
0.0712 0.7500 0.2909
0.4465 0.5237 0.1712
0.4465 0.9763 0.1712
0.5535 0.0237 0.8288
0.5535 0.4763 0.8288
0.9288 0.2500 0.7091
0.9429 0.2500 0.0559
```

Calculated values
E_form (uncorrected) = -2.38 eV per atom

Entry 8:
DFT (PBE) results for a relaxed structure of ZrCuO2F.

Geometry as POSCAR:
```
ZrCuO2F
1.0
4.1356 0.0000 0.0000
0.0000 4.1356 0.0000
0.0000 0.0000 4.1873
Zr Cu O F
1 1 2 1
Direct
0.0000 0.0000 0.0000
0.5000 0.5000 0.5000
0.0000 0.5000 0.0000
0.5000 0.0000 0.0000
0.0000 0.0000 0.5000
```

Calculated values
E_form (uncorrected) = -2.03 eV per atom

Record order is preserved below.
Total energy: -41.4, -60.5, -65.7, -25.5, -19.7, -12.5, -93.8, -34.6 eV for the cell shown
Record order is preserved below.
Mass density: 14.18, 11.35, 3.63, 10.85, 2.97, 9.27, 4.70, 4.77 g cm⁻³
Record order is preserved below.
Calculated volume: 82.6, 91.3, 270.0, 69.7, 313.0, 110.2, 144.2, 71.6 Å³/f.u.